(1)
## BaYMg2 (GGA-PBE)

Data for BaYMg2 after structural relaxation.

Values from the calculation:
* energy above the lowest structure with this stoichiometry: 0.208 eV per atom
* symmetry: No. 119

a b c (Å): 6.2615 6.2615 6.2615
angles (deg): 132.11 132.11 70.06
With the nearest neighbours (Å) after each atom.
Element x y z (fractional)
Ba: 0.0000 0.0000 0.0000  8 Mg 3.59-3.61, 4 Y 3.61
Y: 0.7500 0.2500 0.5000  8 Mg 3.59-3.61, 4 Ba 3.61
Mg: 0.2500 0.7500 0.5000  4 Y 3.59, 4 Mg 3.61, 4 Ba 3.61
Mg: 0.5000 0.5000 0.0000  4 Ba 3.59, 4 Mg 3.61, 4 Y 3.61

---

(2)
## BaYMg2 (GGA-PBE)

Data for BaYMg2 after structural relaxation.

Values from the calculation:
* energy above the lowest structure with this stoichiometry: 0.063 eV per atom
* symmetry: No. 25

a b c (Å): 3.8834 5.8277 5.8262
angles (deg): 90.00 90.00 90.00
With the nearest neighbours (Å) after each atom.
Element x y z (fractional)
Ba: 0.0000 0.0000 0.0000  8 Mg 3.50, 2 Ba 3.88
Y: 0.0000 0.5000 0.4950  8 Mg 3.49-3.51, 2 Y 3.88
Mg: 0.5000 0.0000 0.5005  4 Ba 3.50, 4 Y 3.50, 2 Mg 3.88
Mg: 0.5000 0.5000 0.9929  4 Y 3.49-3.51, 4 Ba 3.50, 2 Mg 3.88

---

(3)
## BaY2Mg (GGA-PBE)

Data for BaY2Mg after structural relaxation.

Values from the calculation:
* symmetry: No. 12
* final energy: -3.895 eV per atom

a b c (Å): 7.1829 7.1829 3.5340
angles (deg): 102.92 102.92 120.20
With the nearest neighbours (Å) after each atom.
Element x y z (fractional)
Ba: 0.0000 0.0000 0.0000  2 Ba 3.53, 4 Mg 3.58-3.74, 4 Y 3.63
Y: 0.0000 0.5000 0.5000  6 Y 3.53-3.74, 2 Ba 3.63, 2 Mg 3.63
Y: 0.5000 0.0000 0.5000  6 Y 3.53-3.74, 2 Ba 3.63, 2 Mg 3.63
Mg: 0.5000 0.5000 0.0000  2 Mg 3.53, 4 Ba 3.58-3.74, 4 Y 3.63

---

(4)
## BaYMg6 (GGA-PBE)

Data for BaYMg6 after structural relaxation.

Values from the calculation:
* energy above the lowest structure with this stoichiometry: 0.018 eV per atom
* symmetry: No. 38

a b c (Å): 4.7769 6.9855 6.9855
angles (deg): 90.01 90.00 90.00
With the nearest neighbours (Å) after each atom.
Element x y z (fractional)
Ba: 0.0000 0.0000 0.0000  12 Mg 3.49-3.59
Y: 0.0000 0.4994 0.4994  12 Mg 3.29-3.50
Mg: 0.0000 0.5001 0.9990  8 Mg 3.44-3.45, 2 Y 3.49-3.50, 2 Ba 3.49
Mg: 0.0000 0.9990 0.5001  8 Mg 3.44-3.45, 2 Y 3.49-3.50, 2 Ba 3.49
Mg: 0.5000 0.2704 0.2704  6 Mg 3.20-3.45, 2 Y 3.29, 2 Ba 3.58
Mg: 0.5000 0.2703 0.7285  6 Mg 3.20-3.44, 2 Y 3.29
Mg: 0.5000 0.7285 0.2703  6 Mg 3.20-3.44, 2 Y 3.29
Mg: 0.5000 0.7288 0.7288  6 Mg 3.20-3.44, 2 Y 3.29

---

(5)
## Ba6MgZn (GGA-PBE)

Data for Ba6MgZn after structural relaxation.

Values from the calculation:
* symmetry: No. 139
* final energy: -1.838 eV per atom

a b c (Å): 11.7731 11.7731 11.7731
angles (deg): 149.94 149.94 43.04
With the nearest neighbours (Å) after each atom.
Element x y z (fractional)
Ba: 0.0914 0.5914 0.5000  2 Mg 3.65, 2 Zn 3.65, 1 Ba 4.00
Ba: 0.2482 0.2482 0.0000  12 Ba 4.32-4.66
Ba: 0.4086 0.9086 0.5000  2 Mg 3.65, 2 Zn 3.65, 1 Ba 4.00
Ba: 0.5914 0.0914 0.5000  2 Mg 3.65, 2 Zn 3.65, 1 Ba 4.00
Ba: 0.7518 0.7518 0.0000  12 Ba 4.32-4.66
Ba: 0.9086 0.4086 0.5000  2 Mg 3.65, 2 Zn 3.65, 1 Ba 4.00
Mg: 0.0000 0.0000 0.0000  8 Ba 3.65
Zn: 0.5000 0.5000 0.0000  8 Ba 3.65

---

(6)
## Ba12MgZn5 (GGA-PBE)

Data for Ba12MgZn5 after structural relaxation.

Values from the calculation:
* symmetry: No. 71
* final energy: -1.799 eV per atom

a b c (Å): 10.1769 10.1769 10.1769
angles (deg): 112.12 109.29 107.05
With the nearest neighbours (Å) after each atom.
Element x y z (fractional)
Ba: 0.0583 0.2403 0.8180  2 Zn 3.46-3.61, 1 Mg 3.80
Ba: 0.1738 0.2676 0.4414  4 Zn 3.58-3.67
Ba: 0.1738 0.7324 0.9063  4 Zn 3.58-3.67
Ba: 0.3305 0.0183 0.6877  3 Zn 3.44-3.50
Ba: 0.3305 0.6428 0.3123  3 Zn 3.44-3.50
Ba: 0.4223 0.2403 0.1820  2 Zn 3.46-3.61, 1 Mg 3.80
Ba: 0.5777 0.7597 0.8180  2 Zn 3.46-3.61, 1 Mg 3.80
Ba: 0.6695 0.3572 0.6877  3 Zn 3.44-3.50
Ba: 0.6695 0.9817 0.3123  3 Zn 3.44-3.50
Ba: 0.8262 0.2676 0.0937  4 Zn 3.58-3.67
Ba: 0.8262 0.7324 0.5586  4 Zn 3.58-3.67
Ba: 0.9417 0.7597 0.1820  2 Zn 3.46-3.61, 1 Mg 3.80
Mg: 0.5000 0.5000 0.0000  8 Ba 3.80-4.10
Zn: 0.0000 0.0000 0.0000  8 Ba 3.61-3.67, 2 Zn 4.01
Zn: 0.1070 0.6070 0.5000  1 Zn 2.59
Zn: 0.3407 0.0000 0.3407  8 Ba 3.46-3.62, 1 Zn 3.75
Zn: 0.6593 0.0000 0.6593  8 Ba 3.46-3.62, 1 Zn 3.75
Zn: 0.8930 0.3930 0.5000  1 Zn 2.59

---

| no. | total moment (μB per atom) | density (Mg/m³) |
| --- | --- | --- |
| 1 | 0.00 | 3.4 |
| 2 | 0.00 | 3.5 |
| 3 | 0.00 | 4.0 |
| 4 | 0.00 | 2.7 |
| 5 | 0.00 | 3.7 |
| 6 | 0.00 | 4.1 |